Entry 1:
{"formula": "CaPr2Zn", "functional": "PBE-GGA", "state": "relaxed", "cell": [[-3.6351, 0.1316, 1.0233], [-2.3942, -2.6726, -1.1846], [0.2645, -6.8051, 8.7919]], "species": ["Pr", "Pr", "Zn", "Ca"], "frac_coords": [[0.0678, 0.0678, 0.7967], [0.2659, 0.2659, 0.2024], [0.6666, 0.6666, 0.0001], [0.4997, 0.4997, 0.5009]], "total_magnetization_mub_per_fu": 0.0, "total_energy_ev_per_atom": -3.214, "ef_ev_per_atom": -0.01}

=====

Entry 2:
{"formula": "Ca2PrZn", "functional": "PBE-GGA", "state": "relaxed", "cell": [[-1.6159, 0.4674, -5.0260], [-2.4781, -4.6710, 0.3623], [-5.7086, 6.4410, 5.2289]], "species": ["Ca", "Ca", "Ca", "Ca", "Zn", "Zn", "Pr", "Pr"], "frac_coords": [[0.6528, 0.6528, 0.3056], [0.0000, 0.5000, 0.0000], [0.5000, 0.0000, 0.0000], [0.3472, 0.3472, 0.6944], [0.2500, 0.7500, 0.5000], [0.7500, 0.2500, 0.5000], [0.1602, 0.1602, 0.3203], [0.8398, 0.8398, 0.6797]], "total_magnetization_mub_per_fu": 0.0, "total_energy_ev_per_atom": -2.653, "ef_ev_per_atom": -0.14}

=====

Entry 3:
{"formula": "CaPr3Zn", "functional": "PBE-GGA", "state": "relaxed", "cell": [[-3.3768, -2.6190, -5.5676], [6.8826, 0.8450, -1.0841], [1.9394, -5.2013, 6.8956]], "species": ["Pr", "Pr", "Pr", "Pr", "Pr", "Pr", "Ca", "Ca", "Zn", "Zn"], "frac_coords": [[0.7659, 0.5883, 0.8399], [0.1933, 0.5456, 0.7389], [0.8067, 0.4544, 0.2611], [0.7484, 0.9260, 0.1601], [0.2516, 0.0740, 0.8399], [0.2341, 0.4117, 0.1601], [0.3292, 0.9439, 0.2732], [0.6708, 0.0561, 0.7268], [0.2504, 0.2536, 0.5039], [0.7496, 0.7464, 0.4961]], "total_magnetization_mub_per_fu": 0.0, "total_energy_ev_per_atom": -3.506, "ef_ev_per_atom": 0.02}

=====

Entry 4:
{"formula": "Ca2PrZn3", "functional": "PBE-GGA", "state": "relaxed", "cell": [[-2.5402, 1.8712, -1.9079], [-2.3865, -2.7729, 0.4580], [-3.6273, 4.6776, 9.4173]], "species": ["Zn", "Zn", "Zn", "Ca", "Ca", "Pr"], "frac_coords": [[0.0000, 0.0000, 0.0000], [0.0000, 0.0000, 0.6665], [0.0000, 0.0000, 0.3335], [0.5000, 0.5000, 0.1646], [0.5000, 0.5000, 0.8354], [0.5000, 0.5000, 0.5000]], "total_magnetization_mub_per_fu": 0.2, "total_energy_ev_per_atom": -2.359, "ef_ev_per_atom": -0.26}

=====

Entry 5:
{"formula": "Ca2PrZn", "functional": "PBE-GGA", "state": "relaxed", "cell": [[-0.1325, -1.9400, 3.2615], [3.0744, -1.8587, 1.2297], [4.1196, 7.4334, 6.7993]], "species": ["Pr", "Zn", "Ca", "Ca"], "frac_coords": [[0.5008, 0.5008, 0.4976], [0.6660, 0.6660, 0.0020], [0.0689, 0.0689, 0.7934], [0.2643, 0.2643, 0.2071]], "total_magnetization_mub_per_fu": 0.0, "total_energy_ev_per_atom": -2.515, "ef_ev_per_atom": 0.00}

=====

Entry 6:
{"formula": "CaPrZn2", "functional": "PBE-GGA", "state": "relaxed", "cell": [[-4.4768, 2.6589, 0.3491], [-4.3624, -1.9481, -2.0995], [-3.8320, -1.7363, 3.0877]], "species": ["Pr", "Zn", "Zn", "Ca"], "frac_coords": [[0.0000, 0.0000, 0.0000], [0.2500, 0.2500, 0.2500], [0.7500, 0.7500, 0.7500], [0.5000, 0.5000, 0.5000]], "total_magnetization_mub_per_fu": 0.0, "total_energy_ev_per_atom": -2.631, "ef_ev_per_atom": -0.30}

=====

Entry 7:
{"formula": "Ca2PrZn4", "functional": "PBE-GGA", "state": "relaxed", "cell": [[4.4144, 0.0000, -1.0065], [-0.2026, 3.8034, -0.8885], [0.0054, 0.3741, 10.2074]], "species": ["Zn", "Zn", "Zn", "Zn", "Ca", "Ca", "Pr"], "frac_coords": [[0.6352, 0.6352, 0.2703], [0.9343, 0.4343, 0.8686], [0.3648, 0.3648, 0.7297], [0.0657, 0.5657, 0.1314], [0.8108, 0.8108, 0.6217], [0.1892, 0.1892, 0.3783], [0.5000, 0.0000, 0.0000]], "total_magnetization_mub_per_fu": 0.0, "total_energy_ev_per_atom": -2.261, "ef_ev_per_atom": -0.28}

=====

Entry 8:
{"formula": "CaPr2Zn", "functional": "PBE-GGA", "state": "relaxed", "cell": [[4.7292, -0.0016, 0.0000], [-2.3666, 6.0359, 0.0000], [0.0000, 0.0000, 8.9813]], "species": ["Pr", "Pr", "Pr", "Pr", "Ca", "Ca", "Zn", "Zn"], "frac_coords": [[0.3569, 0.7144, 0.9544], [0.6431, 0.2856, 0.0456], [0.6431, 0.2856, 0.4544], [0.3569, 0.7144, 0.5456], [0.0597, 0.1197, 0.7500], [0.9403, 0.8803, 0.2500], [0.2287, 0.4563, 0.2500], [0.7713, 0.5437, 0.7500]], "total_magnetization_mub_per_fu": 0.0, "total_energy_ev_per_atom": -3.268, "ef_ev_per_atom": -0.06}

=====

Entry 9:
{"formula": "CaPr3Zn4", "functional": "PBE-GGA", "state": "relaxed", "cell": [[-2.8741, 2.9378, -3.2250], [0.0907, -5.4681, -5.0619], [-8.7258, -3.9839, 4.1473]], "species": ["Zn", "Zn", "Zn", "Zn", "Zn", "Zn", "Zn", "Zn", "Pr", "Pr", "Pr", "Pr", "Pr", "Pr", "Ca", "Ca"], "frac_coords": [[0.9989, 0.7484, 0.2500], [0.5000, 0.2515, 0.0000], [0.5000, 0.7485, 0.5000], [0.5000, 0.2515, 0.5000], [0.5000, 0.7485, 0.0000], [0.0011, 0.7484, 0.7500], [0.9989, 0.2516, 0.2500], [0.0011, 0.2516, 0.7500], [0.5008, 0.0000, 0.7500], [0.4993, 0.5000, 0.2500], [0.0000, 0.0000, 0.5000], [0.4992, 0.0000, 0.2500], [0.0000, 0.0000, 0.0000], [0.5007, 0.5000, 0.7500], [0.0000, 0.5000, 0.5000], [0.0000, 0.5000, 0.0000]], "total_magnetization_mub_per_fu": 0.0, "total_energy_ev_per_atom": -2.971, "ef_ev_per_atom": -0.29}

=====

Entry 10:
{"formula": "Ca2Pr2Zn3", "functional": "PBE-GGA", "state": "relaxed", "cell": [[0.0894, 3.3116, -3.9973], [-1.0174, -5.0258, -0.8151], [-8.0167, 0.9742, 3.9994]], "species": ["Zn", "Zn", "Zn", "Pr", "Pr", "Ca", "Ca"], "frac_coords": [[0.4905, 0.7456, 0.2356], [0.5095, 0.2544, 0.7644], [0.0000, 0.0000, 0.0000], [0.2418, 0.6207, 0.8628], [0.7582, 0.3793, 0.1372], [0.7452, 0.8725, 0.6178], [0.2548, 0.1275, 0.3822]], "total_magnetization_mub_per_fu": 0.0, "total_energy_ev_per_atom": -2.676, "ef_ev_per_atom": -0.19}

=====

Entry 11:
{"formula": "CaPr2Zn", "functional": "PBE-GGA", "state": "relaxed", "cell": [[-2.8959, -1.2961, -2.0768], [2.2634, -2.6434, -1.5062], [-2.2107, -5.6632, 6.6168]], "species": ["Pr", "Pr", "Zn", "Ca"], "frac_coords": [[0.0000, 0.0000, 0.8077], [0.0000, 0.0000, 0.1923], [0.5000, 0.5000, 0.0000], [0.5000, 0.5000, 0.5000]], "total_magnetization_mub_per_fu": 0.0, "total_energy_ev_per_atom": -3.329, "ef_ev_per_atom": -0.12}

=====

Entry 12:
{"formula": "CaPr2Zn", "functional": "PBE-GGA", "state": "relaxed", "cell": [[4.1849, 0.0000, 0.0000], [0.0000, 5.3981, 0.0000], [0.0000, 0.0000, 5.3981]], "species": ["Pr", "Pr", "Ca", "Zn"], "frac_coords": [[0.0000, 0.0000, 0.5000], [0.0000, 0.5000, 0.0000], [0.5000, 0.5000, 0.5000], [0.5000, 0.0000, 0.0000]], "total_magnetization_mub_per_fu": 0.0, "total_energy_ev_per_atom": -3.210, "ef_ev_per_atom": 0.00}